The following is a PBE calculation of an optimized crystal structure of AcCeCCl, from the Alexandria database.

Lattice parameters (Å, degrees): 7.8864 7.8864 7.8864 27.97 27.97 27.97
Last column: nearest neighbours and their distance in Å.
Fractional coordinates of all 4 atoms:
Ac: 0.0000 0.0000 0.0000  3 C 2.80
Ce: 0.7947 0.7947 0.7947  3 C 2.49
C: 0.4097 0.4097 0.4097  3 Ce 2.49
Cl: 0.2239 0.2239 0.2239  3 Ce 3.10, 3 Ac 3.32

Summary:
space-group type = No. 160
ΔE_f (raw) = -0.883 eV per atom
volume = 95.3 Å³/cell
calculated density = 7.226 g cm⁻³